No. 1
The following is a DFT calculation (PBE-GGA) of a geometry-optimized Pr2SmYMg structure.

Lattice parameters (Å, degrees): 6.0283 7.5415 7.3372 90.00 90.00 90.00
Sites, in units of the cell vectors:
1 Pr 0.2500 0.2159 0.1927
2 Pr 0.2500 0.7841 0.1927
3 Pr 0.7500 0.2159 0.8073
4 Pr 0.7500 0.7841 0.8073
5 Sm 0.2500 0.0000 0.6568
6 Sm 0.7500 0.0000 0.3432
7 Y 0.2500 0.5000 0.8722
8 Y 0.7500 0.5000 0.1278
9 Mg 0.0000 0.5000 0.5000
10 Mg 0.5000 0.5000 0.5000

calculated formation energy: 14.54 kJ/mol of atoms

No. 2
The following is a DFT calculation (PBE-GGA) of a geometry-optimized Pr2Sm4Y2Mg structure.

Lattice parameters (Å, degrees): 6.5563 6.5695 7.5888 74.97 74.27 86.37
Sites, in units of the cell vectors:
1 Pr 0.1360 0.1829 0.2802
2 Pr 0.8640 0.8171 0.7198
3 Sm 0.1666 0.2051 0.8013
4 Sm 0.3203 0.6670 0.9006
5 Sm 0.6797 0.3330 0.0994
6 Sm 0.8334 0.7949 0.1987
7 Y 0.2939 0.6307 0.3927
8 Y 0.7061 0.3693 0.6073
9 Mg 0.5000 0.0000 0.5000

calculated formation energy: 8.09 kJ/mol of atoms

No. 3
The following is a DFT calculation (PBE-GGA) of a geometry-optimized Pr2SmY4Mg structure.

Lattice parameters (Å, degrees): 5.0228 5.0360 10.2726 90.00 90.00 90.00
Sites, in units of the cell vectors:
1 Pr 0.0000 0.0000 0.0000
2 Pr 0.5000 0.5000 0.5000
3 Sm 0.0000 0.0000 0.5000
4 Y 0.0000 0.5000 0.2469
5 Y 0.0000 0.5000 0.7531
6 Y 0.5000 0.0000 0.2470
7 Y 0.5000 0.0000 0.7530
8 Mg 0.5000 0.5000 0.0000

calculated formation energy: 2.66 kJ/mol of atoms

No. 4
The following is a DFT calculation (PBE-GGA) of a geometry-optimized Pr2Sm4YMg structure.

Lattice parameters (Å, degrees): 5.0598 5.0598 10.2740 90.00 90.00 90.00
Sites, in units of the cell vectors:
1 Pr 0.0000 0.0000 0.0000
2 Pr 0.5000 0.5000 0.5000
3 Sm 0.0000 0.5000 0.2478
4 Sm 0.0000 0.5000 0.7522
5 Sm 0.5000 0.0000 0.2478
6 Sm 0.5000 0.0000 0.7522
7 Y 0.0000 0.0000 0.5000
8 Mg 0.5000 0.5000 0.0000

calculated formation energy: 1.67 kJ/mol of atoms

No. 5
The following is a DFT calculation (PBE-GGA) of a geometry-optimized Pr2Sm3Y6Mg structure.

Lattice parameters (Å, degrees): 6.2095 6.2095 11.8845 95.02 95.02 120.05
Sites, in units of the cell vectors:
1 Pr 0.1660 0.8340 0.0000
2 Pr 0.8340 0.1660 0.0000
3 Sm 0.0000 0.0000 0.5000
4 Sm 0.3342 0.6658 0.5000
5 Sm 0.6658 0.3342 0.5000
6 Y 0.0865 0.4173 0.7507
7 Y 0.2519 0.2519 0.2505
8 Y 0.4173 0.0865 0.7507
9 Y 0.5827 0.9135 0.2493
10 Y 0.7481 0.7481 0.7495
11 Y 0.9135 0.5827 0.2493
12 Mg 0.5000 0.5000 0.0000

calculated formation energy: 1.73 kJ/mol of atoms

No. 6
The following is a DFT calculation (PBE-GGA) of a geometry-optimized PrSm4Y2Mg structure.

Lattice parameters (Å, degrees): 5.8588 5.8588 7.5798 90.00 90.00 90.00
Sites, in units of the cell vectors:
1 Pr 0.0000 0.0000 0.0000
2 Sm 0.0000 0.5000 0.2426
3 Sm 0.0000 0.5000 0.7574
4 Sm 0.5000 0.0000 0.2426
5 Sm 0.5000 0.0000 0.7574
6 Y 0.0000 0.0000 0.5000
7 Y 0.5000 0.5000 0.5000
8 Mg 0.5000 0.5000 0.0000

calculated formation energy: 7.07 kJ/mol of atoms

No. 7
The following is a DFT calculation (PBE-GGA) of a geometry-optimized Pr4SmY2Mg structure.

Lattice parameters (Å, degrees): 5.8350 5.8435 7.8539 90.00 90.00 90.00
Sites, in units of the cell vectors:
1 Pr 0.0000 0.0000 0.2351
2 Pr 0.0000 0.0000 0.7649
3 Pr 0.5000 0.5000 0.2365
4 Pr 0.5000 0.5000 0.7635
5 Sm 0.0000 0.5000 0.5000
6 Y 0.0000 0.5000 0.0000
7 Y 0.5000 0.0000 0.5000
8 Mg 0.5000 0.0000 0.0000

calculated formation energy: 5.39 kJ/mol of atoms

No. 8
The following is a DFT calculation (PBE-GGA) of a geometry-optimized PrSmMgZr structure.

Lattice parameters (Å, degrees): 5.4522 5.4522 5.4522 60.00 60.00 60.00
Sites, in units of the cell vectors:
1 Pr 0.0000 0.0000 0.0000
2 Sm 0.5000 0.5000 0.5000
3 Mg 0.7500 0.7500 0.7500
4 Zr 0.2500 0.2500 0.2500

calculated formation energy: 12.83 kJ/mol of atoms

No. 9
The following is a DFT calculation (PBE-GGA) of a geometry-optimized PrMg2Sn3 structure.

Lattice parameters (Å, degrees): 7.7387 7.7387 5.9976 90.00 90.00 89.88
Sites, in units of the cell vectors:
1 Pr 0.1728 0.8272 0.7500
2 Pr 0.8272 0.1728 0.2500
3 Mg 0.3395 0.3395 0.0000
4 Mg 0.3395 0.3395 0.5000
5 Mg 0.6605 0.6605 0.0000
6 Mg 0.6605 0.6605 0.5000
7 Sn 0.0299 0.2547 0.7500
8 Sn 0.2547 0.0299 0.2500
9 Sn 0.3412 0.6588 0.2500
10 Sn 0.6588 0.3412 0.7500
11 Sn 0.7453 0.9701 0.7500
12 Sn 0.9701 0.7453 0.2500

calculated formation energy: -12.13 kJ/mol of atoms
E above lowest polymorph: 267 meV/atom

No. 10
The following is a DFT calculation (PBE-GGA) of a geometry-optimized Pr8MgSn6 structure.

Lattice parameters (Å, degrees): 8.5325 8.5325 8.5325 68.04 68.04 68.04
Sites, in units of the cell vectors:
1 Pr 0.1144 0.3965 0.6994
2 Pr 0.1678 0.1678 0.1678
3 Pr 0.3006 0.8856 0.6035
4 Pr 0.3965 0.6994 0.1144
5 Pr 0.6035 0.3006 0.8856
6 Pr 0.6994 0.1144 0.3965
7 Pr 0.8322 0.8322 0.8322
8 Pr 0.8856 0.6035 0.3006
9 Mg 0.5000 0.5000 0.5000
10 Sn 0.0647 0.7875 0.4324
11 Sn 0.2125 0.5676 0.9353
12 Sn 0.4324 0.0647 0.7875
13 Sn 0.5676 0.9353 0.2125
14 Sn 0.7875 0.4324 0.0647
15 Sn 0.9353 0.2125 0.5676

calculated formation energy: -52.69 kJ/mol of atoms

No. 11
The following is a DFT calculation (PBE-GGA) of a geometry-optimized Pr2Mg5Sn4 structure.

Lattice parameters (Å, degrees): 10.1183 8.8131 6.6541 80.40 59.18 40.42
Sites, in units of the cell vectors:
1 Pr 0.1506 0.1506 0.8494
2 Pr 0.8494 0.8494 0.1506
3 Mg 0.0000 0.0000 0.5000
4 Mg 0.2500 0.2500 0.2500
5 Mg 0.5000 0.5000 0.0000
6 Mg 0.5000 0.5000 0.5000
7 Mg 0.7500 0.7500 0.7500
8 Sn 0.2305 0.4873 0.5127
9 Sn 0.4873 0.2305 0.7695
10 Sn 0.5127 0.7695 0.2305
11 Sn 0.7695 0.5127 0.4873

calculated formation energy: -22.45 kJ/mol of atoms

No. 12
The following is a DFT calculation (PBE-GGA) of a geometry-optimized PrMg3Sn3 structure.

Lattice parameters (Å, degrees): 7.7075 7.7075 7.7075 90.00 90.00 90.00
Sites, in units of the cell vectors:
1 Pr 0.0000 0.0000 0.0000
2 Pr 0.5000 0.5000 0.5000
3 Mg 0.0000 0.2500 0.5000
4 Mg 0.0000 0.7500 0.5000
5 Mg 0.2500 0.5000 0.0000
6 Mg 0.5000 0.0000 0.2500
7 Mg 0.5000 0.0000 0.7500
8 Mg 0.7500 0.5000 0.0000
9 Sn 0.0000 0.5000 0.2500
10 Sn 0.0000 0.5000 0.7500
11 Sn 0.2500 0.0000 0.5000
12 Sn 0.5000 0.2500 0.0000
13 Sn 0.5000 0.7500 0.0000
14 Sn 0.7500 0.0000 0.5000

calculated formation energy: 25.55 kJ/mol of atoms

In order of appearance, volume = 166.8 303.9 259.8 263.0 390.5 260.2 267.8 114.6 179.6 514.2 302.7 228.9 Å³/f.u..